[1]
# Ce2Al3NiPt12 | Alexandria via LeMat-Bulk | PBE-GGA | optimized geometry
data_Ce2Al3NiPt12
_chemical_formula_sum 'Ce2 Al3 Ni1 Pt12'
_cell_length_a 7.8344
_cell_length_b 7.8344
_cell_length_c 7.8344
_cell_angle_alpha 61.65
_cell_angle_beta 61.65
_cell_angle_gamma 61.65
_symmetry_space_group_name_H-M 'P 1'
_symmetry_Int_Tables_number 1
loop_
_symmetry_equiv_pos_as_xyz
'x,y,z'
loop_
_atom_site_label
_atom_site_type_symbol
_atom_site_fract_x
_atom_site_fract_y
_atom_site_fract_z
_atom_site_occupancy
Al1 Al 0.0000 0.0000 0.5000 1
Pt1 Pt 0.6200 0.6200 0.1298 1
Pt2 Pt 0.8687 0.3765 0.8687 1
Pt3 Pt 0.3800 0.3800 0.8702 1
Pt4 Pt 0.3800 0.8702 0.3800 1
Pt5 Pt 0.3765 0.8687 0.8687 1
Pt6 Pt 0.8687 0.8687 0.3765 1
Ni1 Ni 0.0000 0.0000 0.0000 1
Pt7 Pt 0.6235 0.1313 0.1313 1
Pt8 Pt 0.6200 0.1298 0.6200 1
Ce1 Ce 0.3704 0.3704 0.3704 1
Pt9 Pt 0.1313 0.6235 0.1313 1
Pt10 Pt 0.1313 0.1313 0.6235 1
Al2 Al 0.5000 0.0000 0.0000 1
Al3 Al 0.0000 0.5000 0.0000 1
Ce2 Ce 0.6296 0.6296 0.6296 1
Pt11 Pt 0.1298 0.6200 0.6200 1
Pt12 Pt 0.8702 0.3800 0.3800 1
# Calculated formation energy (eV/atom): -0.51
# DOS at the Fermi energy (states/eV per cell): 10.611
# Calculated density (g/cm³): 13.00

***

[2]
# TmHfTh2 | Alexandria via LeMat-Bulk | PBE-GGA | optimized geometry
data_TmHfTh2
_chemical_formula_sum 'Tm1 Hf1 Th2'
_cell_length_a 5.4577
_cell_length_b 5.4577
_cell_length_c 5.4577
_cell_angle_alpha 60.00
_cell_angle_beta 60.00
_cell_angle_gamma 60.00
_symmetry_space_group_name_H-M 'P 1'
_symmetry_Int_Tables_number 1
loop_
_symmetry_equiv_pos_as_xyz
'x,y,z'
loop_
_atom_site_label
_atom_site_type_symbol
_atom_site_fract_x
_atom_site_fract_y
_atom_site_fract_z
_atom_site_occupancy
Th1 Th 0.7500 0.7500 0.7500 1
Th2 Th 0.2500 0.2500 0.2500 1
Hf1 Hf 0.5000 0.5000 0.5000 1
Tm1 Tm 0.0000 0.0000 0.0000 1
# Calculated formation energy (eV/atom): 0.16
# DOS at the Fermi energy (states/eV per cell): 5.935
# Calculated density (g/cm³): 11.72

***

[3]
# SiIrSe | Alexandria via LeMat-Bulk | PBE-GGA | optimized geometry
data_SiIrSe
_chemical_formula_sum 'Si1 Ir1 Se1'
_cell_length_a 6.5174
_cell_length_b 6.5174
_cell_length_c 6.5174
_cell_angle_alpha 153.64
_cell_angle_beta 153.66
_cell_angle_gamma 37.61
_symmetry_space_group_name_H-M 'P 1'
_symmetry_Int_Tables_number 1
loop_
_symmetry_equiv_pos_as_xyz
'x,y,z'
loop_
_atom_site_label
_atom_site_type_symbol
_atom_site_fract_x
_atom_site_fract_y
_atom_site_fract_z
_atom_site_occupancy
Se1 Se 0.3423 0.3423 0.0000 1
Si1 Si 0.5336 0.5336 0.0000 1
Ir1 Ir 0.1241 0.1241 0.0000 1
# DOS at the Fermi energy (states/eV per cell): 1.028
# Formation energy (no corrections) (eV per atom): -0.20
# Calculated density (g/cm³): 9.12

***

[4]
# PaCdSe2 | Alexandria via LeMat-Bulk | PBE-GGA | optimized geometry
data_PaCdSe2
_chemical_formula_sum 'Pa1 Cd1 Se2'
_cell_length_a 4.1338
_cell_length_b 4.1338
_cell_length_c 9.5621
_cell_angle_alpha 77.52
_cell_angle_beta 77.52
_cell_angle_gamma 60.00
_symmetry_space_group_name_H-M 'P 1'
_symmetry_Int_Tables_number 1
loop_
_symmetry_equiv_pos_as_xyz
'x,y,z'
loop_
_atom_site_label
_atom_site_type_symbol
_atom_site_fract_x
_atom_site_fract_y
_atom_site_fract_z
_atom_site_occupancy
Cd1 Cd 0.5008 0.5008 0.4975 1
Se1 Se 0.2765 0.2765 0.1705 1
Pa1 Pa 0.6662 0.6662 0.0015 1
Se2 Se 0.0565 0.0565 0.8304 1
# DOS at the Fermi energy (states/eV per cell): 5.499
# Formation energy (no corrections) (eV per atom): -0.85
# Calculated density (g/cm³): 6.08

***

[5]
# Be2HSe | Alexandria via LeMat-Bulk | PBE-GGA | optimized geometry
data_Be2HSe
_chemical_formula_sum 'Be4 H2 Se2'
_cell_length_a 3.6730
_cell_length_b 5.7531
_cell_length_c 5.9818
_cell_angle_alpha 105.48
_cell_angle_beta 106.68
_cell_angle_gamma 108.60
_symmetry_space_group_name_H-M 'P 1'
_symmetry_Int_Tables_number 1
loop_
_symmetry_equiv_pos_as_xyz
'x,y,z'
loop_
_atom_site_label
_atom_site_type_symbol
_atom_site_fract_x
_atom_site_fract_y
_atom_site_fract_z
_atom_site_occupancy
Se1 Se 0.2352 0.0519 0.0058 1
H1 H 0.0419 0.5507 0.1430 1
H2 H 0.7053 0.7120 0.4182 1
Be1 Be 0.9252 0.2934 0.1573 1
Be2 Be 0.3154 0.7263 0.4042 1
Se2 Se 0.1641 0.4015 0.5911 1
Be3 Be 0.0372 0.9677 0.5914 1
Be4 Be 0.4715 0.1443 0.4385 1
# DOS at the Fermi energy (states/eV per cell): 0.000
# VASP energy (eV/atom): -3.779
# Calculated density (g/cm³): 3.09

***

[6]
# Mn2NiSbC | Alexandria via LeMat-Bulk | PBE-GGA | optimized geometry
data_Mn2NiSbC
_chemical_formula_sum 'Mn2 Ni1 Sb1 C1'
_cell_length_a 3.9219
_cell_length_b 3.9219
_cell_length_c 4.0210
_cell_angle_alpha 90.00
_cell_angle_beta 90.00
_cell_angle_gamma 90.00
_symmetry_space_group_name_H-M 'P 1'
_symmetry_Int_Tables_number 1
loop_
_symmetry_equiv_pos_as_xyz
'x,y,z'
loop_
_atom_site_label
_atom_site_type_symbol
_atom_site_fract_x
_atom_site_fract_y
_atom_site_fract_z
_atom_site_occupancy
Sb1 Sb 0.5000 0.5000 0.5000 1
C1 C 0.0000 0.0000 0.0000 1
Mn1 Mn 0.5000 0.0000 0.0000 1
Ni1 Ni 0.0000 0.0000 0.5000 1
Mn2 Mn 0.0000 0.5000 0.0000 1
# DOS at the Fermi energy (states/eV per cell): 4.297
# Formation energy (no corrections) (eV per atom): 0.07
# Calculated density (g/cm³): 8.12